! HfInIO2 PBE-GGA relaxed; values from VASP
&SYSTEM
  ibrav = 0, nat = 5, ntyp = 4
/
ATOMIC_SPECIES
Hf 178.49 Hf.upf
In 114.82 In.upf
I 126.90 I.upf
O 16.00 O.upf
CELL_PARAMETERS angstrom
4.237 0.000 0.000
0.000 4.237 0.000
0.000 0.000 5.940
ATOMIC_POSITIONS angstrom
Hf 0.000 0.000 0.000
In 2.118 2.118 2.970
I 0.000 0.000 2.970
O 0.000 2.118 0.000
O 2.118 0.000 0.000
! - Symmetry: P4/mmm, No. 123
! - ΔE_f (raw): -1.522 eV/atom

***

! Ba2PmScO6 PBE-GGA relaxed; values from VASP
&SYSTEM
  ibrav = 0, nat = 10, ntyp = 4
/
ATOMIC_SPECIES
Ba 137.33 Ba.upf
Pm 145.00 Pm.upf
Sc 44.96 Sc.upf
O 16.00 O.upf
CELL_PARAMETERS angstrom
0.000 4.385 4.385
4.385 0.000 4.385
4.385 4.385 0.000
ATOMIC_POSITIONS angstrom
Ba 2.193 2.193 2.193
Ba 6.578 6.578 6.578
Pm 0.000 0.000 0.000
Sc 4.385 4.385 4.385
O 4.385 4.385 2.293
O 4.385 2.293 4.385
O 6.478 4.385 4.385
O 2.293 4.385 4.385
O 4.385 6.478 4.385
O 4.385 4.385 6.478
! - Symmetry: Fm-3m, No. 225
! - ΔE_f (raw): -2.658 eV/atom

***

! PrDyBr PBE-GGA relaxed; values from VASP
&SYSTEM
  ibrav = 0, nat = 3, ntyp = 3
/
ATOMIC_SPECIES
Pr 140.91 Pr.upf
Dy 162.50 Dy.upf
Br 79.90 Br.upf
CELL_PARAMETERS angstrom
3.778 0.000 0.000
-1.889 3.272 0.000
0.000 0.000 7.538
ATOMIC_POSITIONS angstrom
Pr 0.000 0.000 0.000
Dy 0.000 2.181 4.768
Br 1.889 1.091 2.530
! - Symmetry: P3m1, No. 156
! - ΔE_f (raw): -0.747 eV/atom
! - Excess energy over the best structure of this formula in the dataset: 0.000 eV per atom

***

! MnSn3Te PBE-GGA relaxed; values from VASP
&SYSTEM
  ibrav = 0, nat = 5, ntyp = 3
/
ATOMIC_SPECIES
Mn 54.94 Mn.upf
Sn 118.71 Sn.upf
Te 127.60 Te.upf
CELL_PARAMETERS angstrom
5.071 0.000 0.000
0.000 5.071 0.000
0.000 0.000 5.071
ATOMIC_POSITIONS angstrom
Mn 0.000 0.000 0.000
Sn 0.000 0.000 2.535
Sn 0.000 2.535 0.000
Sn 2.535 0.000 0.000
Te 2.535 2.535 2.535
! - Symmetry: Pm-3m, No. 221
! - ΔE_f (raw): 0.087 eV/atom
! - Excess energy over the best structure of this formula in the dataset: 0.000 eV per atom

***

! CsMn3Br PBE-GGA relaxed; values from VASP
&SYSTEM
  ibrav = 0, nat = 5, ntyp = 3
/
ATOMIC_SPECIES
Cs 132.91 Cs.upf
Mn 54.94 Mn.upf
Br 79.90 Br.upf
CELL_PARAMETERS angstrom
5.962 0.000 0.000
0.000 5.962 0.000
0.000 0.000 5.962
ATOMIC_POSITIONS angstrom
Cs 0.000 0.000 0.000
Mn 0.000 0.000 2.981
Mn 0.000 2.981 0.000
Mn 2.981 0.000 0.000
Br 2.981 2.981 2.981
! - Symmetry: Pm-3m, No. 221
! - ΔE_f (raw): 2.039 eV/atom
! - Excess energy over the best structure of this formula in the dataset: 0.793 eV per atom

***

! CsHgPb2W PBE-GGA relaxed; values from VASP
&SYSTEM
  ibrav = 0, nat = 5, ntyp = 4
/
ATOMIC_SPECIES
Cs 132.91 Cs.upf
Hg 200.59 Hg.upf
Pb 207.20 Pb.upf
W 183.84 W.upf
CELL_PARAMETERS angstrom
6.337 0.000 0.000
0.000 6.337 0.000
0.000 0.000 5.558
ATOMIC_POSITIONS angstrom
Cs 0.000 0.000 0.000
Hg 3.168 3.168 2.779
Pb 0.000 3.168 0.000
Pb 3.168 0.000 0.000
W 0.000 0.000 2.779
! - Symmetry: P4/mmm, No. 123
! - DFT total energy: -10.20 eV per cell

***

! KRb PBE-GGA relaxed; values from VASP
&SYSTEM
  ibrav = 0, nat = 8, ntyp = 2
/
ATOMIC_SPECIES
K 39.10 K.upf
Rb 85.47 Rb.upf
CELL_PARAMETERS angstrom
0.000 8.992 15.369
2.354 0.000 15.369
2.354 8.992 0.000
ATOMIC_POSITIONS angstrom
K 1.766 0.180 11.527
K 2.943 4.676 19.212
K 1.766 13.309 11.527
K 2.943 17.805 19.212
Rb 1.766 6.744 7.990
Rb 1.766 6.744 15.064
Rb 2.943 11.241 15.675
Rb 2.943 11.241 22.749
! - Symmetry: Fddd, No. 70
! - Excess energy over the best structure of this formula in the dataset: 0.012 eV per atom

***

! HfTiNi2I PBE-GGA relaxed; values from VASP
&SYSTEM
  ibrav = 0, nat = 5, ntyp = 4
/
ATOMIC_SPECIES
Hf 178.49 Hf.upf
Ti 47.87 Ti.upf
Ni 58.69 Ni.upf
I 126.90 I.upf
CELL_PARAMETERS angstrom
4.686 0.000 0.000
0.000 4.686 0.000
0.000 0.000 5.181
ATOMIC_POSITIONS angstrom
Hf 0.000 0.000 0.000
Ti 0.000 0.000 2.590
Ni 0.000 2.343 0.000
Ni 2.343 0.000 0.000
I 2.343 2.343 2.590
! - Symmetry: P4/mmm, No. 123
! - ΔE_f (raw): 1.163 eV/atom

***

! Dy3Cd2Pd4 PBE-GGA relaxed; values from VASP
&SYSTEM
  ibrav = 0, nat = 9, ntyp = 3
/
ATOMIC_SPECIES
Dy 162.50 Dy.upf
Cd 112.41 Cd.upf
Pd 106.42 Pd.upf
CELL_PARAMETERS angstrom
4.841 -2.206 0.000
4.841 2.206 0.000
-0.117 0.000 9.137
ATOMIC_POSITIONS angstrom
Dy 0.000 0.000 0.000
Dy 3.490 0.000 5.597
Dy 6.075 0.000 3.540
Cd 3.185 0.000 1.990
Cd 6.380 0.000 7.146
Pd 0.659 0.000 5.712
Pd 2.781 0.000 8.342
Pd 6.784 0.000 0.795
Pd 8.906 0.000 3.424
! - Symmetry: C2/m, No. 12
! - DFT total energy: -42.69 eV per cell

***

! CoCuTe3 PBE-GGA relaxed; values from VASP
&SYSTEM
  ibrav = 0, nat = 5, ntyp = 3
/
ATOMIC_SPECIES
Co 58.93 Co.upf
Cu 63.55 Cu.upf
Te 127.60 Te.upf
CELL_PARAMETERS angstrom
5.030 0.000 0.000
0.000 5.030 0.000
0.000 0.000 5.030
ATOMIC_POSITIONS angstrom
Co 0.000 0.000 0.000
Cu 2.515 2.515 2.515
Te 0.000 0.000 2.515
Te 0.000 2.515 0.000
Te 2.515 0.000 0.000
! - Symmetry: Pm-3m, No. 221
! - ΔE_f (raw): 0.643 eV/atom
! - Excess energy over the best structure of this formula in the dataset: 0.664 eV per atom

***

! K2ScTe2 PBE-GGA relaxed; values from VASP
&SYSTEM
  ibrav = 0, nat = 10, ntyp = 3
/
ATOMIC_SPECIES
K 39.10 K.upf
Sc 44.96 Sc.upf
Te 127.60 Te.upf
CELL_PARAMETERS angstrom
8.131 0.000 0.000
0.000 8.131 0.000
0.000 0.000 5.263
ATOMIC_POSITIONS angstrom
K 1.135 2.931 0.000
K 2.931 6.997 0.000
K 5.200 1.135 0.000
K 6.997 5.200 0.000
Sc 0.000 0.000 2.631
Sc 4.066 4.066 2.631
Te 1.442 5.508 2.631
Te 2.623 1.442 2.631
Te 5.508 6.689 2.631
Te 6.689 2.623 2.631
! - Symmetry: P4/mbm, No. 127
! - ΔE_f (raw): -0.831 eV/atom

***

! GaI PBE-GGA relaxed; values from VASP
&SYSTEM
  ibrav = 0, nat = 6, ntyp = 2
/
ATOMIC_SPECIES
Ga 69.72 Ga.upf
I 126.90 I.upf
CELL_PARAMETERS angstrom
-2.223 8.158 3.276
2.223 -8.158 3.276
2.223 8.158 -3.276
ATOMIC_POSITIONS angstrom
Ga 0.000 0.000 0.000
Ga 2.223 5.463 0.096
Ga 0.000 2.695 3.372
I 2.223 -4.909 3.215
I 0.000 8.158 1.125
I 2.223 4.909 3.215
! - Symmetry: Imm2, No. 44
! - ΔE_f (raw): -0.301 eV/atom